First-principles (PBE) data for crystalline HoTmGa at its relaxed geometry, as listed in Alexandria.

Computed properties:
ΔE to the lowest computed polymorph (eV per formula unit): 0.43
E_form (eV per atom): -0.25

Cell lengths 6.952, 6.952, 6.952 Å; angles 90.00, 90.00, 90.00 degrees
Space group F-43m (No. 216)
Asymmetric unit:
Ho 0.000 0.000 0.000 x4
Tm 0.000 0.000 0.500 x4
Ga 0.250 0.250 0.750 x4